The following is a PBE calculation of an optimized crystal structure of Cu2TcPt6, from Alexandria.

CIF file:
```
data_Cu2TcPt6
_cell_length_a 2.7567
_cell_length_b 2.7567
_cell_length_c 20.6253
_cell_angle_alpha 90.00
_cell_angle_beta 90.00
_cell_angle_gamma 120.00
_space_group_name_H-M_alt 'P -6 m 2'
_space_group_IT_number 187
_space_group_name_Hall 'P -6 2'
loop_
_atom_site_label
_atom_site_type_symbol
_atom_site_fract_x
_atom_site_fract_y
_atom_site_fract_z
_atom_site_occupancy
Cu1 Cu 0.0000 0.0000 0.1714 1
Tc1 Tc 0.6667 0.3333 0.5000 1
Pt1 Pt 0.0000 0.0000 0.3940 1
Pt2 Pt 0.6667 0.3333 0.0672 1
Pt3 Pt 0.6667 0.3333 0.2756 1
```

Computed properties:
E_tot = -6.162 eV per atom
total moment = 0.00 μB per formula unit

The following is a PBE calculation of an optimized crystal structure of GaPtI2O, from Alexandria.

CIF file:
```
data_GaPtI2O
_cell_length_a 5.8227
_cell_length_b 5.8227
_cell_length_c 3.8426
_cell_angle_alpha 90.00
_cell_angle_beta 90.00
_cell_angle_gamma 90.00
_space_group_name_H-M_alt 'P 4/m m m'
_space_group_IT_number 123
_space_group_name_Hall '-P 4 2'
loop_
_atom_site_label
_atom_site_type_symbol
_atom_site_fract_x
_atom_site_fract_y
_atom_site_fract_z
_atom_site_occupancy
Ga1 Ga 0.0000 0.0000 0.0000 1
Pt1 Pt 0.5000 0.5000 0.5000 1
I1 I 0.0000 0.5000 0.5000 1
O1 O 0.5000 0.5000 0.0000 1
```

Computed properties:
E_tot = -3.534 eV per atom
total moment = 0.38 μB per formula unit
E_form (uncorrected) = -0.109 eV per atom
energy above the most stable polymorph in this dataset = 0 meV per atom

The following is a PBE calculation of an optimized crystal structure of BaNa3Al, from Alexandria.

CIF file:
```
data_BaNa3Al
_cell_length_a 5.8735
_cell_length_b 5.8735
_cell_length_c 5.8735
_cell_angle_alpha 90.00
_cell_angle_beta 90.00
_cell_angle_gamma 90.00
_space_group_name_H-M_alt 'P m -3 m'
_space_group_IT_number 221
_space_group_name_Hall '-P 4 2 3'
loop_
_atom_site_label
_atom_site_type_symbol
_atom_site_fract_x
_atom_site_fract_y
_atom_site_fract_z
_atom_site_occupancy
Ba1 Ba 0.0000 0.0000 0.0000 1
Na1 Na 0.0000 0.5000 0.5000 1
Al1 Al 0.5000 0.5000 0.5000 1
```

Computed properties:
E_tot = -1.709 eV per atom
total moment = 0.00 μB per formula unit
energy above the most stable polymorph in this dataset = 0 meV per atom